Computed, not measured: crystalline Pr6Ge2I3N at its relaxed geometry at the PBE-GGA level of DFT.

Results
VASP energy = -5.296 eV per atom
Density of states at the Fermi level = 0.463 states/eV/atom

Cell lengths 7.266, 12.564, 8.224 Å; angles 90.00, 107.08, 90.00 degrees
Space group C2/m (No. 12)
Unique sites:
Pr  0.213  0.151  0.185 (multiplicity 8)
Pr  0.239  0.000  0.812 (multiplicity 4)
Ge  0.000  0.334  0.000 (multiplicity 4)
I  0.000  0.174  0.500 (multiplicity 4)
I  0.000  0.500  0.500 (multiplicity 2)
N  0.000  0.000  0.000 (multiplicity 2)